No. 1
The following is a PBE calculation of a geometry-optimized Sb2TeAuF structure, from Alexandria via LeMat-Bulk.

energy above the most stable polymorph in this dataset	0.000	eV per atom
formation energy without anion corrections	0.110	eV/atom
crystal system	tetragonal
raw total energy	-15.983	eV for the cell shown

Geometry as POSCAR:
```
Sb2TeAuF
1.0
-2.3973 4.0123 0.4053
-2.9280 -1.4076 -3.3845
-3.2815 -2.3460 3.8146
Sb F Au Te
2 1 1 1
direct
0.0000 0.5000 0.0000 Sb
0.5000 0.0000 0.0000 Sb
0.0000 0.0000 0.0000 F
0.5000 0.5000 0.5000 Au
0.0000 0.0000 0.5000 Te
```



No. 2
The following is a PBE calculation of a geometry-optimized LiAc2In6Ag structure, from Alexandria via LeMat-Bulk.

crystal system	monoclinic
DFT formation energy	-0.1664	eV/atom
raw total energy	-31.076	eV for the cell shown

Geometry as POSCAR:
```
LiAc2In6Ag
1.0
7.3930 0.0135 -0.1816
0.0142 7.3872 -0.1780
3.5759 3.5751 5.0108
In Li Ag Ac
6 1 1 2
direct
0.7198 0.7199 0.5172 In
0.7391 0.2606 0.0002 In
0.2789 0.2789 0.9599 In
0.7211 0.7211 0.0401 In
0.2802 0.2801 0.4828 In
0.2609 0.7394 0.9998 In
0.5000 0.5000 0.0000 Li
0.0000 0.0000 0.0000 Ag
0.2270 0.7729 0.5000 Ac
0.7730 0.2271 0.5000 Ac
```



No. 3
The following is a PBE calculation of a geometry-optimized Ba2Cd3GaGe4 structure, from Alexandria via LeMat-Bulk.

crystal system	tetragonal
DFT formation energy	-0.3237	eV/atom
raw total energy	-31.324	eV for the cell shown

Geometry as POSCAR:
```
Ba2Cd3GaGe4
1.0
4.7687 0.0000 0.0000
0.0000 4.7687 0.0000
0.0000 0.0000 11.2447
Cd Ge Ba Ga
3 4 2 1
direct
0.5000 0.0000 0.8692 Cd
0.0000 0.5000 0.1308 Cd
0.0000 0.0000 0.5000 Cd
0.0000 0.5000 0.3729 Ge
0.0000 0.0000 0.0000 Ge
0.5000 0.0000 0.6271 Ge
0.5000 0.5000 0.0000 Ge
0.0000 0.5000 0.7498 Ba
0.5000 0.0000 0.2502 Ba
0.5000 0.5000 0.5000 Ga
```